DFT (PBE) results for a relaxed structure of Ce6GeIr3.

abc: 4.1205 11.3926 11.8669
angles: 107.12 90.00 90.00
Each line ends with the local moment (μB).
Fractional coordinates of all 20 atoms:
Ce: 0.2500 0.8734 0.5386  0.69
Ce: 0.7500 0.7973 0.7589  0.68
Ge: 0.7500 0.0498 0.6944  -0.03
Ce: 0.7500 0.4745 0.6112  0.64
Ir: 0.2500 0.8479 0.9216  -0.05
Ce: 0.2500 0.2027 0.2411  0.68
Ge: 0.2500 0.9502 0.3056  -0.03
Ir: 0.7500 0.4448 0.8361  -0.05
Ce: 0.7500 0.1266 0.4614  0.69
Ir: 0.7500 0.1521 0.0784  -0.05
Ce: 0.2500 0.2682 0.7362  0.61
Ce: 0.2500 0.5255 0.3888  0.64
Ce: 0.2500 0.0870 0.9018  0.52
Ce: 0.7500 0.3920 0.0569  0.53
Ce: 0.7500 0.7318 0.2638  0.61
Ir: 0.2500 0.5552 0.1639  -0.05
Ce: 0.2500 0.6080 0.9431  0.53
Ir: 0.2500 0.3145 0.5056  -0.05
Ce: 0.7500 0.9130 0.0982  0.52
Ir: 0.7500 0.6855 0.4944  -0.05

Summary:
calculated volume = 532 Å³ per cell
energy relative to the elements = -0.60 eV/atom
E = -145.56 eV for the cell shown
total magnetic moment = 0.4372 μB/atom
density of states at the Fermi level = 57.868 states/eV per cell